Cs2CaH3F | GGA-PBE | optimized geometry

Cell and atoms, written as POSCAR:
```
Cs2CaH3F
1.0
-2.2836 2.3115 7.7947
2.2836 -2.3115 7.7947
2.2836 2.3115 -7.7947
Cs Ca H F
2 1 3 1
Direct
0.1469 0.1469 0.0000
0.8531 0.8531 0.0000
0.5000 0.5000 0.0000
0.0000 0.5000 0.5000
0.3512 0.3512 0.0000
0.6488 0.6488 0.0000
0.5000 0.0000 0.5000
```

Uncorrected energy, eV/cell: -23.2
Density of states at the Fermi level, states/eV/atom: 0.00
Theoretical density, g/cm3: 3.31
Total moment, μB per formula unit: 0.0
Space group: Immm (71)

---

CaGdSi | GGA-PBE | optimized geometry

Cell and atoms, written as POSCAR:
```
CaGdSi
1.0
0.0000 3.5043 3.5043
3.5043 0.0000 3.5043
3.5043 3.5043 0.0000
Ca Gd Si
1 1 1
Direct
0.0000 0.0000 0.0000
0.5000 0.5000 0.5000
0.7500 0.7500 0.7500
```

Density of states at the Fermi level, states/eV/atom: 1.46
Theoretical density, g/cm3: 4.35
Total moment, μB per formula unit: 7.2
ΔE_f (raw), meV/atom: -413.6
Space group: F-43m (216)

---

LiTcPb2O5 | GGA-PBE | optimized geometry

Cell and atoms, written as POSCAR:
```
LiTcPb2O5
1.0
1.6143 -6.9593 0.0000
1.6143 6.9593 0.0000
0.0000 0.0000 11.4764
Li Tc Pb O
2 2 4 10
Direct
0.0498 0.9502 0.5000
0.9502 0.0498 0.0000
0.2964 0.7036 0.0929
0.7036 0.2964 0.5929
0.3527 0.6473 0.3891
0.4352 0.5648 0.7294
0.5648 0.4352 0.2294
0.6473 0.3527 0.8891
0.0118 0.9882 0.8472
0.1601 0.8399 0.0533
0.1890 0.8110 0.4822
0.2180 0.7820 0.6992
0.4389 0.5611 0.0987
0.5611 0.4389 0.5987
0.7820 0.2180 0.1992
0.8110 0.1890 0.9822
0.8399 0.1601 0.5533
0.9882 0.0118 0.3472
```

Density of states at the Fermi level, states/eV/atom: 0.21
Theoretical density, g/cm3: 7.72
Total moment, μB per formula unit: 2.0
ΔE_f (raw), meV/atom: -1278.6
Space group: Cmc2_1 (36)

---

BaAcAg | GGA-PBE | optimized geometry

Cell and atoms, written as POSCAR:
```
BaAcAg
1.0
0.0000 3.9847 3.9847
3.9847 0.0000 3.9847
3.9847 3.9847 0.0000
Ba Ac Ag
1 1 1
Direct
0.0000 0.0000 0.0000
0.5000 0.5000 0.5000
0.7500 0.7500 0.7500
```

Energy of formation from the pure elements, meV per atom: 58
Density of states at the Fermi level, states/eV/atom: 1.66
Theoretical density, g/cm3: 6.20
Total moment, μB per formula unit: 0.0
Space group: F-43m (216)
Energy above the lowest structure with this stoichiometry, meV per atom: 182

---

K2RuRh | GGA-PBE | optimized geometry

Cell and atoms, written as POSCAR:
```
K2RuRh
1.0
1.4346 0.8283 11.2303
-1.4346 0.8283 11.2303
0.0000 -1.6565 11.2303
K Ru Rh
2 1 1
Direct
0.2483 0.2483 0.2483
0.7517 0.7517 0.7517
0.0000 0.0000 0.0000
0.5000 0.5000 0.5000
```

Energy of formation from the pure elements, meV per atom: 1044
Density of states at the Fermi level, states/eV/atom: 0.97
Theoretical density, g/cm3: 5.85
Total moment, μB per formula unit: 0.1
Space group: R-3m (166)
Energy above the lowest structure with this stoichiometry, meV per atom: 512

---

RbCa2HfSe | GGA-PBE | optimized geometry

Cell and atoms, written as POSCAR:
```
RbCa2HfSe
1.0
5.6205 0.0000 0.0000
0.0000 5.6205 0.0000
0.0000 0.0000 6.3073
Rb Ca Hf Se
1 2 1 1
Direct
0.0000 0.0000 0.0000
0.0000 0.5000 0.5000
0.5000 0.0000 0.5000
0.5000 0.5000 0.0000
0.0000 0.0000 0.5000
```

Density of states at the Fermi level, states/eV/atom: 1.16
Theoretical density, g/cm3: 3.53
Total moment, μB per formula unit: 3.9
ΔE_f (raw), meV/atom: 210.3
Space group: P4/mmm (123)

---

Pr2ThScSe4 | GGA-PBE | optimized geometry

Cell and atoms, written as POSCAR:
```
Pr2ThScSe4
1.0
7.2140 0.0000 0.0000
0.0000 4.1213 0.0000
-2.3563 0.0000 6.8681
Pr Th Sc Se
2 1 1 4
Direct
0.0000 0.0000 0.0000
0.0000 0.5000 0.5000
0.5000 0.0000 0.5000
0.5000 0.5000 0.0000
0.2629 0.5000 0.2400
0.2732 0.0000 0.7707
0.7268 0.0000 0.2293
0.7371 0.5000 0.7600
```

Density of states at the Fermi level, states/eV/atom: 0.59
Theoretical density, g/cm3: 7.11
Total moment, μB per formula unit: 0.0
ΔE_f (raw), meV/atom: -1673.0
Space group: P2/m (10)

---

TlAgGeHSe | GGA-PBE | optimized geometry

Cell and atoms, written as POSCAR:
```
TlAgGeHSe
1.0
4.1054 0.0000 0.0000
0.1462 5.0352 0.0000
1.6828 1.6081 5.4410
Tl Ag Ge H Se
1 1 1 1 1
Direct
0.0000 0.0000 0.0000
0.3228 0.9436 0.4293
0.4224 0.4827 0.2690
0.8588 0.7441 0.6893
0.5437 0.5385 0.8087
```

Density of states at the Fermi level, states/eV/atom: 0.25
Theoretical density, g/cm3: 6.86
Total moment, μB per formula unit: 0.0
Space group: P1 (1)
Energy above the lowest structure with this stoichiometry, meV per atom: 168

---

GdScMnCd | GGA-PBE | optimized geometry

Cell and atoms, written as POSCAR:
```
GdScMnCd
1.0
0.0000 3.5674 3.5674
3.5674 0.0000 3.5674
3.5674 3.5674 0.0000
Gd Sc Mn Cd
1 1 1 1
Direct
0.0000 0.0000 0.0000
0.5000 0.5000 0.5000
0.2500 0.2500 0.2500
0.7500 0.7500 0.7500
```

Energy of formation from the pure elements, meV per atom: 21
Density of states at the Fermi level, states/eV/atom: 1.59
Theoretical density, g/cm3: 6.76
Total moment, μB per formula unit: 9.9
Space group: F-43m (216)

---

Ce2Pu2Ge | GGA-PBE | optimized geometry

Cell and atoms, written as POSCAR:
```
Ce2Pu2Ge
1.0
-2.0583 2.0583 6.8661
2.0583 -2.0583 6.8661
2.0583 2.0583 -6.8661
Ce Pu Ge
2 2 1
Direct
0.2500 0.7500 0.5000
0.7500 0.2500 0.5000
0.1017 0.1017 0.0000
0.8983 0.8983 0.0000
0.5000 0.5000 0.0000
```

Energy of formation from the pure elements, meV per atom: 205
Density of states at the Fermi level, states/eV/atom: 1.96
Theoretical density, g/cm3: 12.00
Total moment, μB per formula unit: 9.9
Space group: I4/mmm (139)
Energy above the lowest structure with this stoichiometry, meV per atom: 419

---

InCuIr2 | GGA-PBE | optimized geometry

Cell and atoms, written as POSCAR:
```
InCuIr2
1.0
1.4297 0.8254 8.8548
-1.4297 0.8254 8.8548
0.0000 -1.6509 8.8548
In Cu Ir
1 1 2
Direct
0.0000 0.0000 0.0000
0.2478 0.2478 0.2478
0.5020 0.5020 0.5020
0.7558 0.7558 0.7558
```

Energy of formation from the pure elements, meV per atom: 262
Density of states at the Fermi level, states/eV/atom: 1.25
Theoretical density, g/cm3: 14.91
Total moment, μB per formula unit: 0.0
Space group: R3m (160)

---

MgCdHg | GGA-PBE | optimized geometry

Cell and atoms, written as POSCAR:
```
MgCdHg
1.0
0.0000 3.3570 3.3570
3.3570 0.0000 3.3570
3.3570 3.3570 0.0000
Mg Cd Hg
1 1 1
Direct
0.0000 0.0000 0.0000
0.5000 0.5000 0.5000
0.2500 0.2500 0.2500
```

Energy of formation from the pure elements, meV per atom: -63
Density of states at the Fermi level, states/eV/atom: 0.59
Theoretical density, g/cm3: 7.40
Total moment, μB per formula unit: 0.0
Space group: F-43m (216)
Energy above the lowest structure with this stoichiometry, meV per atom: 53

---

Ba6Pt2Cl | GGA-PBE | optimized geometry

Cell and atoms, written as POSCAR:
```
Ba6Pt2Cl
1.0
3.9944 2.3062 7.5883
-3.9944 2.3062 7.5883
0.0000 -4.6123 7.5883
Ba Pt Cl
6 2 1
Direct
0.9995 0.3431 0.6573
0.1916 0.8075 0.5000
0.3431 0.6573 0.9995
0.5000 0.1916 0.8075
0.6573 0.9995 0.3431
0.8075 0.5000 0.1916
0.4115 0.4115 0.4115
0.5886 0.5886 0.5886
0.9176 0.9176 0.9176
```

Density of states at the Fermi level, states/eV/atom: 0.82
Theoretical density, g/cm3: 4.95
Total moment, μB per formula unit: 0.0
ΔE_f (raw), meV/atom: -825.1
Space group: R3 (146)

---

KMgCrAs | GGA-PBE | optimized geometry

Cell and atoms, written as POSCAR:
```
KMgCrAs
1.0
-1.8066 2.3031 6.9205
1.8066 -2.3031 6.9205
1.8066 2.3031 -6.9205
K Mg Cr As
1 1 1 1
Direct
0.0000 0.0000 0.0000
0.2746 0.7746 0.5000
0.6647 0.6647 0.0000
0.7895 0.2895 0.5000
```

Energy of formation from the pure elements, meV per atom: 226
Density of states at the Fermi level, states/eV/atom: 0.30
Theoretical density, g/cm3: 2.74
Total moment, μB per formula unit: 4.1
Space group: Imm2 (44)
Energy above the lowest structure with this stoichiometry, meV per atom: 194

---

RuSe2O | GGA-PBE | optimized geometry

Cell and atoms, written as POSCAR:
```
RuSe2O
1.0
1.9238 1.1107 6.0135
-1.9238 1.1107 6.0135
0.0000 -2.2214 6.0135
Ru Se O
1 2 1
Direct
0.0000 0.0000 0.0000
0.3969 0.3969 0.3969
0.6031 0.6031 0.6031
0.5000 0.5000 0.5000
```

Density of states at the Fermi level, states/eV/atom: 0.49
Theoretical density, g/cm3: 5.92
Total moment, μB per formula unit: 0.0
ΔE_f (raw), meV/atom: -119.2
Space group: R-3m (166)

---

UAlOsRu | GGA-PBE | optimized geometry

Cell and atoms, written as POSCAR:
```
UAlOsRu
1.0
0.0000 3.2420 3.2420
3.2420 0.0000 3.2420
3.2420 3.2420 0.0000
U Al Os Ru
1 1 1 1
Direct
0.0000 0.0000 0.0000
0.5000 0.5000 0.5000
0.7500 0.7500 0.7500
0.2500 0.2500 0.2500
```

Energy of formation from the pure elements, meV per atom: -281
Density of states at the Fermi level, states/eV/atom: 1.22
Theoretical density, g/cm3: 13.56
Total moment, μB per formula unit: 1.4
Space group: F-43m (216)

---

K2UMn2S6 | GGA-PBE | optimized geometry

Cell and atoms, written as POSCAR:
```
K2UMn2S6
1.0
3.2721 -5.4978 0.0000
3.2721 5.4978 0.0000
-2.3035 0.0000 7.5892
K U Mn S
2 1 2 6
Direct
0.1656 0.8344 0.0000
0.8344 0.1656 0.0000
0.0000 0.0000 0.5000
0.3311 0.6689 0.5000
0.6689 0.3311 0.5000
0.0506 0.3979 0.6899
0.2862 0.2862 0.3206
0.3979 0.0506 0.6899
0.6021 0.9494 0.3101
0.7138 0.7138 0.6794
0.9494 0.6021 0.3101
```

Density of states at the Fermi level, states/eV/atom: 0.56
Theoretical density, g/cm3: 3.76
Total moment, μB per formula unit: 10.0
ΔE_f (raw), meV/atom: -1045.6
Space group: C2/m (12)

---

NiSn4Pt2 | GGA-PBE | optimized geometry

Cell and atoms, written as POSCAR:
```
NiSn4Pt2
1.0
3.9787 0.0000 0.0000
-0.0226 6.7042 0.0000
-1.9811 -3.2608 5.5713
Ni Sn Pt
1 4 2
Direct
0.0000 0.0000 0.0000
0.1052 0.4616 0.2137
0.3809 0.0533 0.7607
0.6191 0.9467 0.2393
0.8948 0.5384 0.7863
0.2470 0.2589 0.4918
0.7530 0.7411 0.5082
```

Energy of formation from the pure elements, meV per atom: -396
Density of states at the Fermi level, states/eV/atom: 0.51
Theoretical density, g/cm3: 10.32
Total moment, μB per formula unit: 0.0
Space group: P-1 (2)

---

TlZn2Mo | GGA-PBE | optimized geometry

Cell and atoms, written as POSCAR:
```
TlZn2Mo
1.0
5.3550 -1.4627 0.0000
5.3550 1.4627 0.0000
-2.3679 0.0000 4.4887
Tl Zn Mo
1 2 1
Direct
0.0000 0.0000 0.0000
0.2363 0.2363 0.8930
0.4803 0.4803 0.4741
0.7488 0.7488 0.4337
```

Energy of formation from the pure elements, meV per atom: 374
Density of states at the Fermi level, states/eV/atom: 0.55
Theoretical density, g/cm3: 10.18
Total moment, μB per formula unit: 0.0
Space group: Cm (8)
Energy above the lowest structure with this stoichiometry, meV per atom: 48

---

HoEr6In3 | GGA-PBE | optimized geometry

Cell and atoms, written as POSCAR:
```
HoEr6In3
1.0
5.2102 -7.6116 0.0000
5.2102 7.6116 0.0000
0.0000 0.0000 7.5951
Ho Er In
2 12 6
Direct
0.2063 0.7937 0.5000
0.7937 0.2063 0.0000
0.0461 0.9539 0.7873
0.0761 0.4499 0.2868
0.2335 0.2995 0.9762
0.2995 0.2335 0.4762
0.3009 0.6991 0.9471
0.4499 0.0761 0.7868
0.5501 0.9239 0.2868
0.6991 0.3009 0.4471
0.7005 0.7665 0.9762
0.7665 0.7005 0.4762
0.9239 0.5501 0.7868
0.9539 0.0461 0.2873
0.0126 0.2811 0.6494
0.2811 0.0126 0.1494
0.4456 0.5544 0.2600
0.5544 0.4456 0.7600
0.7189 0.9874 0.6494
0.9874 0.7189 0.1494
```

Energy of formation from the pure elements, meV per atom: -122
Density of states at the Fermi level, states/eV/atom: 1.25
Theoretical density, g/cm3: 8.34
Total moment, μB per formula unit: 0.0
Space group: Cmc2_1 (36)